(1)
# ZrCdCl2, optimized geometry, DFT GGA-PBE
data_ZrCdCl2
_chemical_formula_sum 'Zr1 Cd1 Cl2'
_cell_length_a 5.264
_cell_length_b 5.264
_cell_length_c 5.264
_cell_angle_alpha 130.41
_cell_angle_beta 130.41
_cell_angle_gamma 72.75
_space_group_name_H-M_alt 'P 1'
_space_group_IT_number 1
loop_
_space_group_symop_operation_xyz
'x,y,z'
loop_
_atom_site_label
_atom_site_type_symbol
_atom_site_fract_x
_atom_site_fract_y
_atom_site_fract_z
Cl1 Cl 0.000 0.000 0.000
Zr1 Zr 0.250 0.750 0.500
Cl2 Cl 0.500 0.500 0.000
Cd1 Cd 0.750 0.250 0.500
# - E: -3.666 eV/atom
# - Offset from the most stable computed form: 696 meV/atom
# - Total magnetic moment: 0.000 μB/atom
# - Volume: 20.65 Å³ per atom
# - ΔE_f (raw): -0.38 eV/atom

(2)
# Au2SeN, optimized geometry, DFT GGA-PBE
data_Au2SeN
_chemical_formula_sum 'Au2 Se1 N1'
_cell_length_a 4.519
_cell_length_b 4.519
_cell_length_c 4.519
_cell_angle_alpha 60.00
_cell_angle_beta 60.00
_cell_angle_gamma 60.00
_space_group_name_H-M_alt 'P 1'
_space_group_IT_number 1
loop_
_space_group_symop_operation_xyz
'x,y,z'
loop_
_atom_site_label
_atom_site_type_symbol
_atom_site_fract_x
_atom_site_fract_y
_atom_site_fract_z
Au1 Au 0.750 0.750 0.750
Se1 Se 0.500 0.500 0.500
Au2 Au 0.250 0.250 0.250
N1 N 0.000 0.000 0.000
# - E: -3.241 eV/atom
# - Offset from the most stable computed form: 504 meV/atom
# - Total magnetic moment: 0.337 μB/atom
# - Volume: 16.32 Å³ per atom
# - ΔE_f (raw): 1.35 eV/atom

(3)
# SrLa2PuO8, optimized geometry, DFT GGA-PBE
data_SrLa2PuO8
_chemical_formula_sum 'Sr1 La2 Pu1 O8'
_cell_length_a 4.277
_cell_length_b 5.572
_cell_length_c 7.723
_cell_angle_alpha 90.00
_cell_angle_beta 90.00
_cell_angle_gamma 96.63
_space_group_name_H-M_alt 'P 1'
_space_group_IT_number 1
loop_
_space_group_symop_operation_xyz
'x,y,z'
loop_
_atom_site_label
_atom_site_type_symbol
_atom_site_fract_x
_atom_site_fract_y
_atom_site_fract_z
O1 O 0.052 0.770 0.199
Pu1 Pu 0.000 0.000 0.000
O2 O 0.417 0.209 0.000
La1 La 0.500 0.500 0.252
O3 O 0.505 0.264 0.500
Sr1 Sr 0.000 0.000 0.500
O4 O 0.495 0.736 0.500
O5 O 0.948 0.230 0.801
O6 O 0.052 0.770 0.801
O7 O 0.948 0.230 0.199
La2 La 0.500 0.500 0.748
O8 O 0.583 0.791 0.000
# - E: -8.244 eV/atom
# - Total magnetic moment: 0.064 μB/atom
# - Volume: 15.24 Å³ per atom
# - ΔE_f (raw): -2.78 eV/atom

(4)
# Mg2Sc5OsRh2, optimized geometry, DFT GGA-PBE
data_Mg2Sc5OsRh2
_chemical_formula_sum 'Mg4 Sc10 Os2 Rh4'
_cell_length_a 3.351
_cell_length_b 10.991
_cell_length_c 10.991
_cell_angle_alpha 90.00
_cell_angle_beta 90.00
_cell_angle_gamma 90.00
_space_group_name_H-M_alt 'P 1'
_space_group_IT_number 1
loop_
_space_group_symop_operation_xyz
'x,y,z'
loop_
_atom_site_label
_atom_site_type_symbol
_atom_site_fract_x
_atom_site_fract_y
_atom_site_fract_z
Sc1 Sc 0.500 0.306 0.560
Sc2 Sc 0.500 0.060 0.806
Sc3 Sc 0.500 0.806 0.940
Mg1 Mg 0.000 0.180 0.320
Rh1 Rh 0.000 0.130 0.630
Mg2 Mg 0.000 0.320 0.820
Sc4 Sc 0.500 0.500 0.000
Sc5 Sc 0.500 0.000 0.500
Sc6 Sc 0.500 0.560 0.694
Sc7 Sc 0.500 0.694 0.440
Rh2 Rh 0.000 0.870 0.370
Sc8 Sc 0.500 0.440 0.306
Mg3 Mg 0.000 0.820 0.680
Sc9 Sc 0.500 0.940 0.194
Mg4 Mg 0.000 0.680 0.180
Rh3 Rh 0.000 0.370 0.130
Rh4 Rh 0.000 0.630 0.870
Os1 Os 0.000 0.000 0.000
Os2 Os 0.000 0.500 0.500
Sc10 Sc 0.500 0.194 0.060
# - E: -6.563 eV/atom
# - Total magnetic moment: 0.000 μB/atom
# - Volume: 20.24 Å³ per atom

(5)
# Pm4HoPb5, optimized geometry, DFT GGA-PBE
data_Pm4HoPb5
_chemical_formula_sum 'Pm4 Ho1 Pb5'
_cell_length_a 3.576
_cell_length_b 3.576
_cell_length_c 22.890
_cell_angle_alpha 90.00
_cell_angle_beta 90.00
_cell_angle_gamma 90.00
_space_group_name_H-M_alt 'P 1'
_space_group_IT_number 1
loop_
_space_group_symop_operation_xyz
'x,y,z'
loop_
_atom_site_label
_atom_site_type_symbol
_atom_site_fract_x
_atom_site_fract_y
_atom_site_fract_z
Pb1 Pb 0.500 0.500 0.500
Pm1 Pm 0.000 0.000 0.399
Pb2 Pb 0.500 0.500 0.298
Pm2 Pm 0.000 0.000 0.198
Pb3 Pb 0.500 0.500 0.702
Pm3 Pm 0.000 0.000 0.601
Pb4 Pb 0.500 0.500 0.096
Pm4 Pm 0.000 0.000 0.802
Pb5 Pb 0.500 0.500 0.904
Ho1 Ho 0.000 0.000 0.000
# - E: -4.701 eV/atom
# - Total magnetic moment: 0.000 μB/atom
# - Volume: 29.27 Å³ per atom

(6)
# LiReSe2, optimized geometry, DFT GGA-PBE
data_LiReSe2
_chemical_formula_sum 'Li1 Re1 Se2'
_cell_length_a 4.536
_cell_length_b 4.536
_cell_length_c 4.536
_cell_angle_alpha 60.00
_cell_angle_beta 60.00
_cell_angle_gamma 60.00
_space_group_name_H-M_alt 'P 1'
_space_group_IT_number 1
loop_
_space_group_symop_operation_xyz
'x,y,z'
loop_
_atom_site_label
_atom_site_type_symbol
_atom_site_fract_x
_atom_site_fract_y
_atom_site_fract_z
Se1 Se 0.000 0.000 0.000
Li1 Li 0.500 0.500 0.500
Se2 Se 0.750 0.750 0.750
Re1 Re 0.250 0.250 0.250
# - E: -4.519 eV/atom
# - Offset from the most stable computed form: 1056 meV/atom
# - Total magnetic moment: 0.340 μB/atom
# - Volume: 16.50 Å³ per atom
# - ΔE_f (raw): 0.81 eV/atom

Repeat the second record exactly.
# Au2SeN, optimized geometry, DFT GGA-PBE
data_Au2SeN
_chemical_formula_sum 'Au2 Se1 N1'
_cell_length_a 4.519
_cell_length_b 4.519
_cell_length_c 4.519
_cell_angle_alpha 60.00
_cell_angle_beta 60.00
_cell_angle_gamma 60.00
_space_group_name_H-M_alt 'P 1'
_space_group_IT_number 1
loop_
_space_group_symop_operation_xyz
'x,y,z'
loop_
_atom_site_label
_atom_site_type_symbol
_atom_site_fract_x
_atom_site_fract_y
_atom_site_fract_z
Au1 Au 0.750 0.750 0.750
Se1 Se 0.500 0.500 0.500
Au2 Au 0.250 0.250 0.250
N1 N 0.000 0.000 0.000
# - E: -3.241 eV/atom
# - Offset from the most stable computed form: 504 meV/atom
# - Total magnetic moment: 0.337 μB/atom
# - Volume: 16.32 Å³ per atom
# - ΔE_f (raw): 1.35 eV/atom

Number 2 is which compound? Au2SeN